This record from Alexandria via LeMat-Bulk describes a relaxed structure of NbFeSn3. The functional is GGA-PBEsol.

a b c (Å): 5.281 5.281 5.281
angles (deg): 90.00 90.00 90.00
Positions (direct):
Nb1 0.000 0.000 0.000
Fe1 0.500 0.500 0.500
Sn1 0.000 0.000 0.500
Sn2 0.000 0.500 0.000
Sn3 0.500 0.000 0.000

Values from the calculation:
- Calculated formation energy: 1052 meV per atom
- Total magnetic moment: 4.60 μB/f.u.


This record from Alexandria via LeMat-Bulk describes a relaxed structure of NbFeSn3. The functional is GGA-PBEsol.

a b c (Å): 4.815 4.815 4.815
angles (deg): 90.00 90.00 90.00
Positions (direct):
Nb1 0.000 0.000 0.000
Fe1 0.500 0.500 0.500
Sn1 0.000 0.500 0.500
Sn2 0.500 0.000 0.500
Sn3 0.500 0.500 0.000

Values from the calculation:
- Calculated formation energy: 744 meV per atom
- Total magnetic moment: 3.91 μB/f.u.


This record from Alexandria via LeMat-Bulk describes a relaxed structure of SrNbFe2. The functional is GGA-PBEsol.

a b c (Å): 6.487 6.487 6.487
angles (deg): 90.00 90.00 90.00
Positions (direct):
Sr1 0.000 0.000 0.000
Sr2 0.000 0.500 0.500
Sr3 0.500 0.000 0.500
Sr4 0.500 0.500 0.000
Nb1 0.000 0.000 0.500
Nb2 0.000 0.500 0.000
Nb3 0.500 0.000 0.000
Nb4 0.500 0.500 0.500
Fe1 0.250 0.250 0.250
Fe2 0.250 0.250 0.750
Fe3 0.250 0.750 0.250
Fe4 0.250 0.750 0.750
Fe5 0.750 0.250 0.250
Fe6 0.750 0.250 0.750
Fe7 0.750 0.750 0.250
Fe8 0.750 0.750 0.750

Values from the calculation:
- Calculated formation energy: 848 meV per atom
- Total magnetic moment: 2.16 μB/f.u.


This record from Alexandria via LeMat-Bulk describes a relaxed structure of Sr3NbFe. The functional is GGA-PBEsol.

a b c (Å): 5.696 5.696 5.696
angles (deg): 90.00 90.00 90.00
Positions (direct):
Sr1 0.000 0.000 0.500
Sr2 0.000 0.500 0.000
Sr3 0.500 0.000 0.000
Nb1 0.000 0.000 0.000
Fe1 0.500 0.500 0.500

Values from the calculation:
- Calculated formation energy: 1506 meV per atom
- Total magnetic moment: 3.50 μB/f.u.


This record from Alexandria via LeMat-Bulk describes a relaxed structure of NbFeTe3. The functional is GGA-PBEsol.

a b c (Å): 4.905 4.905 4.905
angles (deg): 90.00 90.00 90.00
Positions (direct):
Nb1 0.000 0.000 0.000
Fe1 0.500 0.500 0.500
Te1 0.000 0.500 0.500
Te2 0.500 0.000 0.500
Te3 0.500 0.500 0.000

Values from the calculation:
- Energy relative to the elements, uncorrected: 0.7401 eV per atom
- Total magnetic moment: 0.63 μB/f.u.


This record from Alexandria via LeMat-Bulk describes a relaxed structure of NbFeTe2. The functional is GGA-PBEsol.

a b c (Å): 7.843 7.281 6.227
angles (deg): 90.00 90.00 90.00
Positions (direct):
Nb1 0.205 0.000 0.000
Nb2 0.295 0.000 0.500
Nb3 0.705 0.000 0.500
Nb4 0.795 0.000 0.000
Fe1 0.000 0.114 0.356
Fe2 0.000 0.886 0.644
Fe3 0.500 0.114 0.144
Fe4 0.500 0.886 0.856
Te1 0.000 0.230 0.748
Te2 0.000 0.770 0.252
Te3 0.250 0.322 0.250
Te4 0.250 0.678 0.750
Te5 0.500 0.230 0.752
Te6 0.500 0.770 0.248
Te7 0.750 0.322 0.250
Te8 0.750 0.678 0.750

Values from the calculation:
- Energy relative to the elements, uncorrected: -0.3389 eV per atom
- Total magnetic moment: 1.65 μB/f.u.


This record from Alexandria via LeMat-Bulk describes a relaxed structure of NbFeW2. The functional is GGA-PBEsol.

a b c (Å): 6.203 6.203 6.203
angles (deg): 90.00 90.00 90.00
Positions (direct):
Nb1 0.000 0.000 0.000
Nb2 0.000 0.500 0.500
Nb3 0.500 0.000 0.500
Nb4 0.500 0.500 0.000
Fe1 0.000 0.000 0.500
Fe2 0.000 0.500 0.000
Fe3 0.500 0.000 0.000
Fe4 0.500 0.500 0.500
W1 0.250 0.250 0.250
W2 0.250 0.250 0.750
W3 0.250 0.750 0.250
W4 0.250 0.750 0.750
W5 0.750 0.250 0.250
W6 0.750 0.250 0.750
W7 0.750 0.750 0.250
W8 0.750 0.750 0.750

Values from the calculation:
- Calculated formation energy: 208 meV per atom
- Total magnetic moment: 1.47 μB/f.u.


This record from Alexandria via LeMat-Bulk describes a relaxed structure of ZrNbFe2W. The functional is GGA-PBEsol.

a b c (Å): 4.349 4.349 4.910
angles (deg): 90.00 90.00 90.00
Positions (direct):
Zr1 0.000 0.000 0.000
Nb1 0.500 0.500 0.000
Fe1 0.000 0.500 0.500
Fe2 0.500 0.000 0.500
W1 0.000 0.000 0.500

Values from the calculation:
- Calculated formation energy: 1427 meV per atom
- Total magnetic moment: 1.77 μB/f.u.


This record from Alexandria via LeMat-Bulk describes a relaxed structure of ZrNb3Fe. The functional is GGA-PBEsol.

a b c (Å): 4.587 4.587 4.587
angles (deg): 90.00 90.00 90.00
Positions (direct):
Zr1 0.000 0.000 0.000
Nb1 0.000 0.500 0.500
Nb2 0.500 0.000 0.500
Nb3 0.500 0.500 0.000
Fe1 0.500 0.500 0.500

Values from the calculation:
- Calculated formation energy: 547 meV per atom
- Total magnetic moment: 0.00 μB/f.u.


This record from Alexandria via LeMat-Bulk describes a relaxed structure of ZrNb3Fe. The functional is GGA-PBEsol.

a b c (Å): 4.795 4.795 4.795
angles (deg): 90.00 90.00 90.00
Positions (direct):
Zr1 0.000 0.000 0.000
Nb1 0.000 0.000 0.500
Nb2 0.000 0.500 0.000
Nb3 0.500 0.000 0.000
Fe1 0.500 0.500 0.500

Values from the calculation:
- Calculated formation energy: 2001 meV per atom
- Total magnetic moment: 3.44 μB/f.u.


This record from Alexandria via LeMat-Bulk describes a relaxed structure of NdFe5. The functional is GGA-PBEsol.

a b c (Å): 4.972 4.972 3.891
angles (deg): 90.00 90.00 120.00
Positions (direct):
Nd1 0.000 0.000 0.000
Fe1 0.000 0.500 0.500
Fe2 0.333 0.667 0.000
Fe3 0.500 0.000 0.500
Fe4 0.500 0.500 0.500
Fe5 0.667 0.333 0.000

Values from the calculation:
- Calculated formation energy: 73 meV per atom
- Total magnetic moment: 9.18 μB/f.u.


This record from Alexandria via LeMat-Bulk describes a relaxed structure of NdFe2. The functional is GGA-PBEsol.

a b c (Å): 5.131 5.131 5.131
angles (deg): 60.00 60.00 60.00
Positions (direct):
Nd1 0.125 0.125 0.125
Nd2 0.875 0.875 0.875
Fe1 0.000 0.500 0.500
Fe2 0.500 0.000 0.500
Fe3 0.500 0.500 0.000
Fe4 0.500 0.500 0.500

Values from the calculation:
- Calculated formation energy: 97 meV per atom
- Total magnetic moment: 3.48 μB/f.u.


Question: The lowest total magnetic moment belongs to which entry?
Answer: number 9


Copy entry 10 word for word.
This record from Alexandria via LeMat-Bulk describes a relaxed structure of ZrNb3Fe. The functional is GGA-PBEsol.

a b c (Å): 4.795 4.795 4.795
angles (deg): 90.00 90.00 90.00
Positions (direct):
Zr1 0.000 0.000 0.000
Nb1 0.000 0.000 0.500
Nb2 0.000 0.500 0.000
Nb3 0.500 0.000 0.000
Fe1 0.500 0.500 0.500

Values from the calculation:
- Calculated formation energy: 2001 meV per atom
- Total magnetic moment: 3.44 μB/f.u.


Question: The lowest total magnetic moment belongs to which entry?
Answer: number 9


Question: Which value of total magnetic moment does entry 6 give?
Answer: 1.65 μB/f.u.